[1]
Computed, not measured: Rb2BaThO4 after structural relaxation at the PBE-GGA level of DFT.

As for the total energy: -6.3955 eV per atom. As for the space group: P2/m, No. 10. The value obtained for the size of the total moment is 0.0 μB per cell. Its raw formation energy is -2.507 eV per atom.

```
Rb2BaThO4
1.0
6.7878 0.0000 0.0000
0.0000 3.8155 0.0000
-2.3707 0.0000 6.6144
Rb Ba Th O
2 1 1 4
Cartesian
0.0000 0.0000 0.0000 Rb
3.3939 1.9078 0.0000 Rb
-1.1853 1.9078 3.3072 Ba
2.2086 0.0000 3.3072 Th
0.2808 0.0000 4.5115 O
1.2853 1.9078 2.0854 O
3.1318 1.9078 4.5291 O
4.1364 0.0000 2.1029 O
```

---

[2]
Computed, not measured: NdEr2HfN4 after structural relaxation at the PBE-GGA level of DFT.

As for the total energy: -8.7939 eV per atom. As for the space group: P2/m, No. 10. The value obtained for the size of the total moment is 0.0 μB per cell. Its raw formation energy is -1.650 eV per atom.

```
NdEr2HfN4
1.0
5.8984 0.0000 0.0000
0.0000 3.4110 0.0000
-1.9610 0.0000 5.6266
Nd Er Hf N
1 2 1 4
Cartesian
0.0000 0.0000 0.0000 Nd
1.9687 0.0000 2.8133 Er
2.9492 1.7055 0.0000 Er
-0.9805 1.7055 2.8133 Hf
-0.0172 0.0000 4.1026 N
0.9380 1.7055 1.5317 N
2.9994 1.7055 4.0949 N
3.9546 0.0000 1.5240 N
```